Record 1
Density functional theory data (PBE) for Pm2MgAl3Au4 after structural relaxation.

Cell: 4.453 4.453 10.560 Å, 90.00 90.00 90.00°
Element x y z (fractional)
Al (0.500, 0.000, 0.872)
Al (0.000, 0.500, 0.128)
Al (0.000, 0.000, 0.500)
Pm (0.500, 0.000, 0.240)
Au (0.500, 0.500, 0.000)
Mg (0.500, 0.500, 0.500)
Pm (0.000, 0.500, 0.760)
Au (0.000, 0.500, 0.363)
Au (0.500, 0.000, 0.637)
Au (0.000, 0.000, 0.000)

Computed properties:
**Fermi-level density of states**: 0.695 states/eV per atom
**DFT formation energy**: -701 meV per atom
**Crystal system**: tetragonal
**Raw total energy**: -4.24 eV/atom

***

Record 2
Density functional theory data (PBE) for TbVB2 after structural relaxation.

Cell: 3.582 3.582 5.346 Å, 70.43 70.43 60.00°
Element x y z (fractional)
B (0.286, 0.286, 0.142)
Tb (0.500, 0.500, 0.500)
B (0.714, 0.714, 0.858)
V (0.000, 0.000, 0.000)

Computed properties:
**Fermi-level density of states**: 0.609 states/eV per atom
**DFT formation energy**: -26 meV per atom
**Crystal system**: trigonal
**Raw total energy**: -6.80 eV/atom

***

Record 3
Density functional theory data (PBE) for CsTl2SeI after structural relaxation.

Cell: 4.477 9.345 10.460 Å, 87.43 90.00 90.00°
Element x y z (fractional)
Tl (0.750, 0.284, 0.602)
Se (0.750, 0.911, 0.259)
Cs (0.250, 0.775, 0.003)
Se (0.250, 0.089, 0.741)
Tl (0.250, 0.716, 0.398)
Cs (0.750, 0.225, 0.997)
I (0.750, 0.567, 0.783)
Tl (0.250, 0.099, 0.371)
I (0.250, 0.433, 0.217)
Tl (0.750, 0.901, 0.629)

Computed properties:
**Crystal system**: monoclinic
**Energy relative to the elements, uncorrected**: -725 meV per atom
**Raw total energy**: -2.85 eV/atom

***

Record 4
Density functional theory data (PBE) for Nb2VAs2 after structural relaxation.

Cell: 6.758 6.758 3.588 Å, 90.00 90.00 90.00°
Element x y z (fractional)
Nb (0.154, 0.654, 0.500)
V (0.000, 0.000, 0.000)
Nb (0.846, 0.346, 0.500)
As (0.350, 0.850, 0.000)
Nb (0.346, 0.154, 0.500)
As (0.650, 0.150, 0.000)
Nb (0.654, 0.846, 0.500)
V (0.500, 0.500, 0.000)
As (0.150, 0.350, 0.000)
As (0.850, 0.650, 0.000)

Computed properties:
**Fermi-level density of states**: 0.889 states/eV per atom
**DFT formation energy**: -355 meV per atom
**Crystal system**: tetragonal
**Raw total energy**: -8.07 eV/atom

***

Record 5
Density functional theory data (PBE) for K2YSnSe4 after structural relaxation.

Cell: 7.400 6.895 6.895 Å, 73.27 57.55 57.55°
Element x y z (fractional)
K (0.000, 0.500, 0.500)
K (0.500, 0.500, 0.500)
Y (0.000, 0.000, 0.000)
Sn (0.500, 0.000, 0.000)
Se (0.572, 0.000, 0.351)
Se (0.077, 0.351, 0.000)
Se (0.428, 0.649, 0.000)
Se (0.923, 0.000, 0.649)

Computed properties:
**Fermi-level density of states**: 0.624 states/eV per atom
**Crystal system**: tetragonal
**Energy relative to the elements, uncorrected**: -1111 meV per atom
**Raw total energy**: -4.44 eV/atom